The following is a DFT calculation (PBE-GGA) of a relaxed HgPb2Cl2O2 crystal.

Unit cell a=12.1151 b=3.9671 c=8.1864 alpha=90.00 beta=123.43 gamma=90.00
Space group C2/m (No. 12)
Inequivalent atoms, fractional coordinates:
Hg  0.0000  0.0000  0.0000 (multiplicity 2)
Pb  0.1774  0.0000  0.7617 (multiplicity 4)
Cl  0.0526  0.5000  0.3288 (multiplicity 4)
O  0.1909  0.0000  0.0621 (multiplicity 4)

Summary:
For the density of states at the Fermi level, the calculation gives 0.000 states/eV per atom. The calculation puts the uncorrected formation energy at -0.986 eV per atom.

---

The following is a DFT calculation (PBE-GGA) of a relaxed Hg2PbClO2 crystal.

Unit cell a=5.8776 b=5.9346 c=7.9044 alpha=90.00 beta=105.70 gamma=90.00
Space group P2_1/m (No. 11)
Inequivalent atoms, fractional coordinates:
Hg  0.0014  0.2500  0.2363 (multiplicity 2)
Hg  0.2994  0.7500  0.1069 (multiplicity 2)
Pb  0.3725  0.7500  0.5745 (multiplicity 2)
Cl  0.2458  0.2500  0.9215 (multiplicity 2)
O  0.3175  0.0008  0.3435 (multiplicity 4)

Summary:
For the density of states at the Fermi level, the calculation gives 0.297 states/eV per atom. The calculation puts the uncorrected formation energy at -0.513 eV per atom.

---

The following is a DFT calculation (PBE-GGA) of a relaxed Hg2PbClO crystal.

Unit cell a=4.9002 b=4.9002 c=5.1515 alpha=90.00 beta=90.00 gamma=90.00
Space group P4/mmm (No. 123)
Inequivalent atoms, fractional coordinates:
Hg  0.0000  0.5000  0.0000 (multiplicity 2)
Pb  0.0000  0.0000  0.5000 (multiplicity 1)
Cl  0.5000  0.5000  0.5000 (multiplicity 1)
O  0.0000  0.0000  0.0000 (multiplicity 1)

Summary:
For the density of states at the Fermi level, the calculation gives 0.524 states/eV per atom. The calculation puts the uncorrected formation energy at -0.197 eV per atom.

---

The following is a DFT calculation (PBE-GGA) of a relaxed PmHgClO2 crystal.

Unit cell a=6.7540 b=4.2986 c=9.3837 alpha=90.00 beta=109.25 gamma=90.00
Space group P2_1/m (No. 11)
Inequivalent atoms, fractional coordinates:
Pm  0.2388  0.2500  0.0618 (multiplicity 2)
Hg  0.2887  0.2500  0.4405 (multiplicity 2)
Cl  0.4054  0.2500  0.8235 (multiplicity 2)
O  0.1205  0.7500  0.1292 (multiplicity 2)
O  0.1267  0.7500  0.9696 (multiplicity 2)

Summary:
For the density of states at the Fermi level, the calculation gives 0.000 states/eV per atom. The calculation puts the uncorrected formation energy at -1.640 eV per atom.

---

The following is a DFT calculation (PBE-GGA) of a relaxed PmHgClO crystal.

Unit cell a=3.9993 b=3.9993 c=13.1734 alpha=90.00 beta=90.00 gamma=90.00
Space group P4/nmm (No. 129, origin choice 2)
Inequivalent atoms, fractional coordinates:
Pm  0.2500  0.2500  0.0895 (multiplicity 2)
Hg  0.2500  0.7500  0.5000 (multiplicity 2)
Cl  0.2500  0.2500  0.7994 (multiplicity 2)
O  0.2500  0.7500  0.0000 (multiplicity 2)

Summary:
For the density of states at the Fermi level, the calculation gives 0.080 states/eV per atom. The calculation puts the uncorrected formation energy at -2.197 eV per atom.

---

The following is a DFT calculation (PBE-GGA) of a relaxed PrHgClO2 crystal.

Unit cell a=6.8861 b=3.7668 c=7.6518 alpha=90.00 beta=96.70 gamma=90.00
Space group P2_1/m (No. 11)
Inequivalent atoms, fractional coordinates:
Pr  0.1208  0.2500  0.2158 (multiplicity 2)
Hg  0.3769  0.2500  0.8363 (multiplicity 2)
Cl  0.2083  0.7500  0.5379 (multiplicity 2)
O  0.0882  0.2500  0.8856 (multiplicity 2)
O  0.3283  0.7500  0.1645 (multiplicity 2)

Summary:
For the density of states at the Fermi level, the calculation gives 0.000 states/eV per atom. The calculation puts the uncorrected formation energy at -1.912 eV per atom.

---

The following is a DFT calculation (PBE-GGA) of a relaxed PuHgClO4 crystal.

Unit cell a=11.6505 b=5.5523 c=8.4307 alpha=90.00 beta=104.11 gamma=90.00
Space group C2/m (No. 12)
Inequivalent atoms, fractional coordinates:
Pu  0.0269  0.0000  0.2232 (multiplicity 4)
Hg  0.1688  0.5000  0.5741 (multiplicity 4)
Cl  0.1003  0.5000  0.8328 (multiplicity 4)
O  0.0771  0.0000  0.6515 (multiplicity 4)
O  0.1136  0.0000  0.0683 (multiplicity 4)
O  0.1362  0.2425  0.3590 (multiplicity 8)

Summary:
For the density of states at the Fermi level, the calculation gives 0.027 states/eV per atom. The calculation puts the uncorrected formation energy at -1.376 eV per atom.

---

The following is a DFT calculation (PBE-GGA) of a relaxed Rb3Hg2S3ClO12 crystal.

Unit cell a=8.1293 b=10.0375 c=10.2617 alpha=90.00 beta=111.22 gamma=90.00
Space group P2_1 (No. 4)
Inequivalent atoms, fractional coordinates:
Rb  0.0960  0.0000  0.2688 (multiplicity 2)
Rb  0.3162  0.1951  0.6982 (multiplicity 2)
Rb  0.3197  0.3659  0.1324 (multiplicity 2)
Hg  0.2398  0.8226  0.9582 (multiplicity 2)
Hg  0.2657  0.6029  0.5001 (multiplicity 2)
S  0.0280  0.6516  0.1034 (multiplicity 2)
S  0.0906  0.8551  0.6079 (multiplicity 2)
S  0.4505  0.5369  0.8616 (multiplicity 2)
Cl  0.4753  0.4499  0.4795 (multiplicity 2)
O  0.0120  0.0065  0.9129 (multiplicity 2)
O  0.0188  0.7000  0.9567 (multiplicity 2)
O  0.0345  0.9924  0.5556 (multiplicity 2)
O  0.0471  0.2783  0.3661 (multiplicity 2)
O  0.1032  0.2286  0.8601 (multiplicity 2)
O  0.1349  0.7904  0.4873 (multiplicity 2)
O  0.2103  0.6739  0.2044 (multiplicity 2)
O  0.2588  0.8624  0.7332 (multiplicity 2)
O  0.2772  0.5245  0.7441 (multiplicity 2)
O  0.4115  0.0905  0.1845 (multiplicity 2)
O  0.4320  0.6131  0.9800 (multiplicity 2)
O  0.4962  0.3921  0.9141 (multiplicity 2)

Summary:
For the density of states at the Fermi level, the calculation gives 0.000 states/eV per atom. The calculation puts the uncorrected formation energy at -1.434 eV per atom.